TiMn3F after structural relaxation, computed with PBE with a Hubbard U.

abc: 4.4753 4.4753 4.4753
angles: 90.00 90.00 90.00
Last column: magnetic moment on the atom in μB.
Fractional coordinates of all 5 atoms:
1 Mn 0.0000 0.5000 0.0000  4.46
2 Mn 0.0000 0.0000 0.5000  4.44
3 Mn 0.5000 0.0000 0.0000  4.42
4 Ti 0.5000 0.5000 0.5000  -1.68
5 F 0.0000 0.0000 0.0000  0.11

Volume (A^3/atom): 17.927
Polymorph energy (0 for the lowest one) (meV per atom): 0.0
Symmetry: No. 221